## P
VASP calculation (PBE-GGA) on Ta2SnIr2 after structural relaxation.

Results
**Space group**: P4/mmm, No. 123
**D(E_F)**: 6.062 states/eV per cell

Lattice parameters (Å, degrees): 4.8050 4.8050 4.9690 90.00 90.00 90.00
Fractional coordinates of all 5 atoms:
Ir  0.0000  0.5000  0.0000
Ir  0.5000  0.0000  0.0000
Sn  0.5000  0.5000  0.5000
Ta  0.0000  0.0000  0.0000
Ta  0.0000  0.0000  0.5000

## Q
VASP calculation (PBE-GGA) on Ta2SnIr2 after structural relaxation.

Results
**Space group**: P4/mbm, No. 127
**D(E_F)**: 6.100 states/eV per cell

Lattice parameters (Å, degrees): 7.8059 7.8059 2.9376 90.00 90.00 90.00
Fractional coordinates of all 10 atoms:
Ir  0.3681  0.8681  0.0000
Ir  0.8681  0.6319  0.0000
Ir  0.6319  0.1319  0.0000
Ir  0.1319  0.3681  0.0000
Sn  0.0000  0.0000  0.0000
Sn  0.5000  0.5000  0.0000
Ta  0.1598  0.6598  0.5000
Ta  0.6598  0.8402  0.5000
Ta  0.8402  0.3402  0.5000
Ta  0.3402  0.1598  0.5000

## R
VASP calculation (PBE-GGA) on Ta2SnIr2 after structural relaxation.

Results
**Space group**: I4/mmm, No. 139
**D(E_F)**: 2.116 states/eV per cell

Lattice parameters (Å, degrees): 4.3777 4.3777 6.1475 69.14 69.14 90.00
Fractional coordinates of all 5 atoms:
Ir  0.3774  0.3774  0.2452
Ir  0.6226  0.6226  0.7548
Sn  0.0000  0.0000  0.0000
Ta  0.7500  0.2500  0.5000
Ta  0.2500  0.7500  0.5000

Ranking the structures above by energy, Q is first and the second is 170 meV per atom behind.